Below is a geometry-optimized Nd6Sb3Se2S structure, with properties calculated at the PBE-GGA level.

a = 4.364 Å, b = 8.701 Å, c = 9.749 Å
α = 102.79°, β = 102.93°, γ = 90.00°
Element x y z (fractional)
1 Nd 0.001 0.235 0.002
2 Nd 0.659 0.086 0.318
3 Nd 0.332 0.421 0.663
4 Nd 0.341 0.914 0.682
5 Nd 0.668 0.579 0.337
6 Nd 0.999 0.765 0.998
7 Sb 0.169 0.835 0.338
8 Sb 0.831 0.165 0.662
9 Sb 0.500 0.500 0.000
10 Se 0.166 0.334 0.332
11 Se 0.834 0.666 0.668
12 S 0.500 0.000 0.000

Computed properties:
Its density of states at the Fermi level is 5.257 states/eV/f.u. The magnetization comes out at 0.00 Bohr magnetons per cell. For the raw total energy, the calculation gives -70.49 eV per cell.


Below is a geometry-optimized Nd4Sb2TeS structure, with properties calculated at the PBE-GGA level.

a = 8.834 Å, b = 8.834 Å, c = 8.839 Å
α = 120.02°, β = 120.02°, γ = 89.97°
Element x y z (fractional)
1 Te 0.500 0.500 0.500
2 Te 0.000 0.000 0.000
3 Nd 0.242 0.258 0.995
4 Nd 0.766 0.261 0.514
5 Nd 0.758 0.742 0.005
6 Nd 0.242 0.258 0.505
7 Nd 0.234 0.739 0.486
8 Nd 0.758 0.742 0.495
9 Nd 0.239 0.734 0.986
10 Nd 0.761 0.266 0.014
11 Sb 0.500 0.500 0.000
12 Sb 0.000 0.000 0.500
13 Sb 0.500 0.000 0.500
14 Sb 0.500 0.000 0.000
15 S 0.000 0.500 0.500
16 S 0.000 0.500 0.000

Computed properties:
Its density of states at the Fermi level is 3.521 states/eV/f.u. The magnetization comes out at 0.00 Bohr magnetons per cell. For the raw total energy, the calculation gives -92.04 eV per cell.


Below is a geometry-optimized Nd3Tl3SbS8 structure, with properties calculated at the PBE-GGA level.

a = 8.231 Å, b = 8.233 Å, c = 8.960 Å
α = 117.35°, β = 89.99°, γ = 120.01°
Element x y z (fractional)
1 Nd 0.000 0.500 0.500
2 Nd 0.500 0.000 0.500
3 Nd 0.500 0.500 0.500
4 Tl 0.500 0.500 0.000
5 Tl 0.000 0.500 0.000
6 Tl 0.000 0.000 0.000
7 S 0.221 0.441 0.694
8 S 0.735 0.469 0.704
9 S 0.265 0.531 0.296
10 S 0.752 0.973 0.694
11 S 0.221 0.973 0.694
12 S 0.779 0.027 0.306
13 S 0.248 0.027 0.306
14 S 0.779 0.559 0.306
15 Sb 0.000 0.000 0.500

Computed properties:
Its density of states at the Fermi level is 2.632 states/eV/f.u. The magnetization comes out at 0.00 Bohr magnetons per cell. For the raw total energy, the calculation gives -76.10 eV per cell.


Below is a geometry-optimized Nd3Tl4SbS8 structure, with properties calculated at the PBE-GGA level.

a = 8.312 Å, b = 8.882 Å, c = 8.312 Å
α = 117.92°, β = 120.00°, γ = 90.00°
Element x y z (fractional)
1 S 0.231 0.703 0.972
2 S 0.741 0.703 0.972
3 S 0.259 0.297 0.028
4 S 0.735 0.705 0.470
5 S 0.265 0.295 0.530
6 S 0.769 0.297 0.538
7 S 0.769 0.297 0.028
8 S 0.231 0.703 0.462
9 Sb 0.000 0.500 0.000
10 Tl 0.000 0.000 0.500
11 Tl 0.500 0.000 0.000
12 Tl 0.000 0.000 0.000
13 Tl 0.500 0.000 0.500
14 Nd 0.000 0.500 0.500
15 Nd 0.500 0.500 0.000
16 Nd 0.500 0.500 0.500

Computed properties:
The magnetization comes out at 0.00 Bohr magnetons per cell. For the raw total energy, the calculation gives -79.60 eV per cell.


Below is a geometry-optimized NdTl2SbS4 structure, with properties calculated at the PBE-GGA level.

a = 8.506 Å, b = 8.506 Å, c = 8.527 Å
α = 120.09°, β = 120.09°, γ = 90.06°
Element x y z (fractional)
1 S 0.762 0.738 0.969
2 S 0.794 0.259 0.026
3 S 0.762 0.738 0.531
4 S 0.759 0.294 0.526
5 S 0.241 0.706 0.474
6 S 0.238 0.262 0.031
7 S 0.206 0.741 0.974
8 S 0.238 0.262 0.469
9 Sb 0.000 0.000 0.000
10 Sb 0.500 0.500 0.500
11 Tl 0.500 0.000 0.000
12 Tl 0.500 0.000 0.500
13 Tl 0.500 0.500 0.000
14 Tl 0.000 0.000 0.500
15 Nd 0.000 0.500 0.000
16 Nd 0.000 0.500 0.500

Computed properties:
Its density of states at the Fermi level is 0.010 states/eV/f.u. The magnetization comes out at 0.00 Bohr magnetons per cell. For the raw total energy, the calculation gives -73.99 eV per cell.


Below is a geometry-optimized Nd2Tl3SbS6 structure, with properties calculated at the PBE-GGA level.

a = 7.181 Å, b = 7.181 Å, c = 7.831 Å
α = 98.79°, β = 98.79°, γ = 120.00°
Element x y z (fractional)
1 S 0.067 0.393 0.202
2 S 0.257 0.257 0.795
3 S 0.607 0.933 0.798
4 S 0.933 0.607 0.798
5 S 0.393 0.067 0.202
6 S 0.743 0.743 0.205
7 Tl 0.831 0.169 0.500
8 Tl 0.169 0.831 0.500
9 Tl 0.500 0.500 0.500
10 Sb 0.000 0.000 0.000
11 Nd 0.667 0.333 0.000
12 Nd 0.333 0.667 0.000

Computed properties:
The magnetization comes out at 0.00 Bohr magnetons per cell. For the raw total energy, the calculation gives -58.43 eV per cell.


Below is a geometry-optimized NdTmSbS structure, with properties calculated at the PBE-GGA level.

a = 4.091 Å, b = 4.092 Å, c = 7.774 Å
α = 90.01°, β = 105.25°, γ = 120.00°
Site moments in Bohr magnetons follow the coordinates.
Element x y z (fractional)
1 Sb 0.125 0.960 0.101  0.00
2 Nd 0.974 0.385 0.374  0.22
3 S 0.483 0.139 0.638  -0.01
4 Tm 0.296 0.546 0.857  0.05

Computed properties:
Its density of states at the Fermi level is 1.589 states/eV/f.u. The magnetization comes out at 0.59 Bohr magnetons per cell. For the raw total energy, the calculation gives -23.04 eV per cell.


Below is a geometry-optimized NdYSbS structure, with properties calculated at the PBE-GGA level.

a = 4.167 Å, b = 4.165 Å, c = 7.586 Å
α = 90.00°, β = 105.94°, γ = 119.99°
Element x y z (fractional)
1 Y 0.324 0.560 0.898
2 S 0.125 0.960 0.100
3 Sb 0.477 0.136 0.628
4 Nd 0.953 0.374 0.343

Computed properties:
Its density of states at the Fermi level is 2.470 states/eV/f.u. The magnetization comes out at 0.00 Bohr magnetons per cell. For the raw total energy, the calculation gives -25.49 eV per cell.